CaNiBr2 after structural relaxation. Source: Alexandria, functional GGA-PBE.

Properties
- Raw formation energy: -0.86 eV/atom
- E above lowest polymorph: 190 meV/atom
- M_tot: 0.00 Bohr magnetons per cell
- DOS at the Fermi energy: 1.05 states/eV per cell

Unit cell a=10.618 b=3.994 c=4.835 alpha=90.00 beta=91.16 gamma=90.00
Element x y z (fractional)
1 Ca 0.000 0.000 0.000
2 Ca 0.500 0.500 0.000
3 Ni 0.196 0.500 0.852
4 Ni 0.696 0.000 0.852
5 Br 0.038 0.500 0.516
6 Br 0.280 0.000 0.032
7 Br 0.538 0.000 0.516
8 Br 0.780 0.500 0.032